No. 1
Compound: LiBeFeAs
Source: OQMD
Functional: GGA-PBE
Structure: relaxed

The value obtained for the polymorph energy (0 for the lowest one) is 0.00 eV/f.u. The space-group type is F-43m, No. 216.

a b c (Å): 3.935 3.935 3.935
angles (deg): 60.00 60.00 60.00
Fractional positions:
Li1 0.000 0.000 0.000
Be1 0.250 0.250 0.250
Fe1 0.500 0.500 0.500
As1 0.750 0.750 0.750

---

No. 2
Compound: LiBeFeAs
Source: OQMD
Functional: GGA-PBE
Structure: relaxed

The value obtained for the polymorph energy (0 for the lowest one) is 0.74 eV/f.u. The space-group type is F-43m, No. 216.

a b c (Å): 3.988 3.988 3.988
angles (deg): 60.00 60.00 60.00
Fractional positions:
Li1 0.000 0.000 0.000
Be1 0.750 0.750 0.750
Fe1 0.250 0.250 0.250
As1 0.500 0.500 0.500